Record 1
Here is a relaxed KSb2F6 crystal from the Alexandria database. Energies are from PBE-GGA.

Cell: 6.2063 7.5296 7.5296 Å, 83.42 92.64 92.64°
Closest atoms and distances in Å follow each position.
Fractional positions:
Sb 0.3848 0.2884 0.3612  3 F 1.97-2.05
Sb 0.8848 0.3612 0.2884  3 F 1.97-2.05
Sb 0.6152 0.7116 0.6388  3 F 1.97-2.05
Sb 0.1152 0.6388 0.7116  3 F 1.97-2.05
F 0.0386 0.8191 0.8808  1 Sb 2.05
F 0.0144 0.3860 0.6584  1 Sb 2.05
F 0.2305 0.5042 0.9324  1 Sb 1.97
F 0.7695 0.4958 0.0676  1 Sb 1.97
F 0.4614 0.1192 0.1809  1 Sb 2.05
F 0.2695 0.0676 0.4958  1 Sb 1.97
F 0.9856 0.6140 0.3416  1 Sb 2.05
F 0.9614 0.1809 0.1192  1 Sb 2.05
F 0.4856 0.3416 0.6140  1 Sb 2.05
F 0.7305 0.9324 0.5042  1 Sb 1.97
F 0.5386 0.8808 0.8191  1 Sb 2.05
F 0.5144 0.6584 0.3860  1 Sb 2.05
K 0.2500 0.1379 0.8621  8 F 2.67-2.88
K 0.7500 0.8621 0.1379  8 F 2.67-2.88

## Properties
The space group is C2/c, No. 15.

=====

Record 2
Here is a relaxed KSbF3 crystal from the Alexandria database. Energies are from PBE-GGA.

Cell: 4.5569 4.5569 4.5569 Å, 90.00 90.00 90.00°
Closest atoms and distances in Å follow each position.
Fractional positions:
F 0.0000 0.5000 0.0000  2 Sb 2.28
F 0.0000 0.0000 0.5000  2 Sb 2.28
F 0.5000 0.0000 0.0000  2 Sb 2.28
K 0.5000 0.5000 0.5000  12 F 3.22
Sb 0.0000 0.0000 0.0000  6 F 2.28

## Properties
The space group is Pm-3m, No. 221. The value obtained for the polymorph energy (0 for the lowest one) is 36.2 kJ per mole of atoms.

=====

Record 3
Here is a relaxed KSbF3 crystal from the Alexandria database. Energies are from PBE-GGA.

Cell: 4.7692 6.7949 7.6927 Å, 65.51 107.06 88.79°
Closest atoms and distances in Å follow each position.
Fractional positions:
Sb 0.3924 0.0643 0.5603  3 F 2.00-2.12
Sb 0.9795 0.9545 0.8850  3 F 2.00-2.12
F 0.8259 0.0248 0.0715  1 Sb 2.00
F 0.8785 0.6449 0.0494  1 Sb 2.11
F 0.3489 0.7291 0.6634  1 Sb 2.12
F 0.5459 0.9940 0.3738  1 Sb 2.00
F 0.4934 0.3739 0.3959  1 Sb 2.11
F 0.0230 0.2898 0.7818  1 Sb 2.12
K 0.4833 0.3832 0.0254  6 F 2.64-2.81
K 0.8886 0.6356 0.4199  6 F 2.64-2.81

## Properties
The space group is P-1, No. 2. The value obtained for the polymorph energy (0 for the lowest one) is 0.0 kJ per mole of atoms.

=====

Going through the records in order, we get E_form (uncorrected) values of -2.27, -1.97, -2.34 eV/atom.
Going through the records in order, we get Fermi-level density of states values of 2.6, 2.9, 0.0 states/eV/f.u..